Record 1
A relaxed structure of SrPtBr2, computed with PBEsol.

The space group is P4/mmm (No. 123) and the conventional cell measures 4.792, 4.792 and 3.909 Å, with angles of 90.00, 90.00 and 90.00 degrees. Symmetry generates all atoms from Sr at (0.000, 0.000, 0.000), Pt at (0.500, 0.500, 0.000) and Br at (0.000, 0.500, 0.500).

As for the formation energy from raw total energies: -0.683 eV per atom. The theoretical density is 8.2 g cm⁻³. As for the total energy: -15.27 eV per cell. The calculation puts the volume at 90 Å³ per cell.

Record 2
A relaxed structure of Ta4GaSe8, computed with PBEsol.

The space group is F-43m (No. 216) and the conventional cell measures 10.338, 10.338 and 10.338 Å, with angles of 90.00, 90.00 and 90.00 degrees. Symmetry generates all atoms from Ta at (0.103, 0.103, 0.103), Ga at (0.000, 0.000, 0.500), Se at (0.136, 0.136, 0.364) and Se at (0.137, 0.137, 0.863).

As for the formation energy from raw total energies: -0.772 eV per atom. The theoretical density is 8.6 g cm⁻³. As for the total energy: -377.55 eV per cell. The calculation puts the volume at 1105 Å³ per cell.

Record 3
A relaxed structure of CdIn2Ag, computed with PBEsol.

The space group is F-43m (No. 216) and the conventional cell measures 7.054, 7.054 and 7.054 Å, with angles of 90.00, 90.00 and 90.00 degrees. Symmetry generates all atoms from Cd at (0.000, 0.000, 0.000), In at (0.000, 0.000, 0.500), In at (0.250, 0.250, 0.250) and Ag at (0.250, 0.250, 0.750).

The theoretical density is 8.5 g cm⁻³. As for the total energy: -40.29 eV per cell. The calculation puts the energy of formation from the pure elements at 101 meV per atom. The calculation puts the volume at 351 Å³ per cell.

Record 4
A relaxed structure of SrInI3, computed with PBEsol.

The space group is Pm-3m (No. 221) and the conventional cell measures 5.978, 5.978 and 5.978 Å, with angles of 90.00, 90.00 and 90.00 degrees. Symmetry generates all atoms from Sr at (0.000, 0.000, 0.000), In at (0.500, 0.500, 0.500) and I at (0.000, 0.500, 0.500).

As for the formation energy from raw total energies: -0.666 eV per atom. The theoretical density is 4.5 g cm⁻³. As for the total energy: -13.46 eV per cell. The calculation puts the volume at 214 Å³ per cell.

Record 5
A relaxed structure of SrTePbN2, computed with PBEsol.

The space group is P4/mmm (No. 123) and the conventional cell measures 4.751, 4.751 and 6.350 Å, with angles of 90.00, 90.00 and 90.00 degrees. Symmetry generates all atoms from Sr at (0.000, 0.000, 0.000), Te at (0.000, 0.000, 0.500), Pb at (0.500, 0.500, 0.500) and N at (0.000, 0.500, 0.000).

As for the formation energy from raw total energies: 1.114 eV per atom. The theoretical density is 5.2 g cm⁻³. As for the total energy: -20.85 eV per cell. The calculation puts the volume at 143 Å³ per cell.

Record 6
A relaxed structure of Ba3V2O8, computed with PBEsol.

The space group is R-3m (No. 166, hexagonal axes) and the conventional cell measures 5.7558, 5.7558 and 21.3213 Å, with angles of 90.00, 90.00 and 120.00 degrees. Symmetry generates all atoms from Ba at (0.0000, 0.0000, 0.0000), Ba at (0.0000, 0.0000, 0.2052), V at (0.0000, 0.0000, 0.4076), O at (0.0000, 0.0000, 0.3278) and O at (0.0089, 0.5044, 0.2318).

As for the formation energy from raw total energies: -2.878 eV per atom. The theoretical density is 5.2 g cm⁻³. As for the total energy: -315.37 eV per cell. The calculation puts the volume at 612 Å³ per cell.

Record 7
A relaxed structure of Sm6MgGe2S14, computed with PBEsol.

The space group is P3 (No. 143) and the conventional cell measures 9.9731, 9.9731 and 5.6621 Å, with angles of 90.00, 90.00 and 120.00 degrees. Symmetry generates all atoms from Sm at (0.0244, 0.4617, 0.0000), Sm at (0.3094, 0.2047, 0.5068), Mg at (0.6667, 0.3333, 0.2375), Ge at (0.0000, 0.0000, 0.0897), Ge at (0.3333, 0.6667, 0.5811), S at (0.0000, 0.0000, 0.7050), S at (0.0839, 0.2336, 0.2465), S at (0.1836, 0.7501, 0.7404), S at (0.3333, 0.6667, 0.1973), S at (0.4155, 0.2435, 0.9948) and S at (0.5075, 0.0819, 0.4772).

As for the formation energy from raw total energies: -1.641 eV per atom. The theoretical density is 5.2 g cm⁻³. As for the total energy: -141.27 eV per cell. The calculation puts the volume at 488 Å³ per cell.

Record 8
A relaxed structure of La2CrBr, computed with PBEsol.

The space group is Pm (No. 6) and the conventional cell measures 3.571, 5.015 and 6.041 Å, with angles of 90.00, 107.28 and 90.00 degrees. Symmetry generates all atoms from La at (0.000, 0.000, 0.000), La at (0.264, 0.500, 0.524), Cr at (0.756, 0.000, 0.506) and Br at (0.526, 0.500, 0.051).

As for the formation energy from raw total energies: -0.242 eV per atom. The theoretical density is 6.6 g cm⁻³. As for the total energy: -23.77 eV per cell. The calculation puts the volume at 103 Å³ per cell.